--- A ---
VASP calculation (PBE) on a geometry-optimized AlCdAs2Br structure.

abc: 4.9728 4.9728 5.0729
angles: 90.00 90.00 90.00
Space group P4/mmm (No. 123)
One atom of each set of equivalent atoms:
Al  0.0000  0.0000  0.0000 [1 per cell]
Cd  0.5000  0.5000  0.5000 [1 per cell]
As  0.0000  0.5000  0.0000 [2 per cell]
Br  0.0000  0.0000  0.5000 [1 per cell]

* size of the total moment: 0.63 μB/cell
* DOS at the Fermi energy: 4.5 states/eV/cell

--- B ---
VASP calculation (PBE) on a geometry-optimized AlCdAs2Br structure.

abc: 5.1698 5.1698 5.8694
angles: 90.00 90.00 90.00
Space group P4/mmm (No. 123)
One atom of each set of equivalent atoms:
Al  0.0000  0.0000  0.0000 [1 per cell]
Cd  0.5000  0.5000  0.5000 [1 per cell]
As  0.0000  0.5000  0.5000 [2 per cell]
Br  0.5000  0.5000  0.0000 [1 per cell]

* size of the total moment: 1.64 μB/cell
* DOS at the Fermi energy: 3.1 states/eV/cell

A ends up most stable, edging out the next structure by 408 meV per atom.

--- A ---
VASP calculation (PBE) on a geometry-optimized AlCdAsBr2 structure.

abc: 5.6715 5.6715 5.2745
angles: 90.00 90.00 90.00
Space group P4/mmm (No. 123)
One atom of each set of equivalent atoms:
Al  0.0000  0.0000  0.0000 [1 per cell]
Cd  0.5000  0.5000  0.5000 [1 per cell]
As  0.5000  0.5000  0.0000 [1 per cell]
Br  0.0000  0.5000  0.5000 [2 per cell]

* size of the total moment: 1.98 μB/cell
* DOS at the Fermi energy: 1.0 states/eV/cell

--- B ---
VASP calculation (PBE) on a geometry-optimized AlCdAsBr2 structure.

abc: 4.9961 4.9961 5.2654
angles: 90.00 90.00 90.00
Space group P4/mmm (No. 123)
One atom of each set of equivalent atoms:
Al  0.0000  0.0000  0.0000 [1 per cell]
Cd  0.5000  0.5000  0.5000 [1 per cell]
As  0.0000  0.0000  0.5000 [1 per cell]
Br  0.0000  0.5000  0.0000 [2 per cell]

* size of the total moment: 0.00 μB/cell
* DOS at the Fermi energy: 3.5 states/eV/cell

B ends up most stable, edging out the next structure by 311 meV per atom.

--- A ---
VASP calculation (PBE) on a geometry-optimized AlAs2BrCl structure.

abc: 4.7455 4.7455 6.8759
angles: 90.00 90.00 90.00
Space group P4/mmm (No. 123)
One atom of each set of equivalent atoms:
Al  0.0000  0.0000  0.0000 [1 per cell]
As  0.0000  0.5000  0.5000 [2 per cell]
Br  0.5000  0.5000  0.0000 [1 per cell]
Cl  0.5000  0.5000  0.5000 [1 per cell]

* size of the total moment: 0.00 μB/cell
* DOS at the Fermi energy: 3.6 states/eV/cell

--- B ---
VASP calculation (PBE) on a geometry-optimized AlAs2BrCl structure.

abc: 4.9889 4.9889 4.9699
angles: 90.00 90.00 90.00
Space group P4/mmm (No. 123)
One atom of each set of equivalent atoms:
Al  0.0000  0.0000  0.0000 [1 per cell]
As  0.0000  0.5000  0.0000 [2 per cell]
Br  0.0000  0.0000  0.5000 [1 per cell]
Cl  0.5000  0.5000  0.5000 [1 per cell]

* size of the total moment: 0.85 μB/cell
* DOS at the Fermi energy: 3.3 states/eV/cell

B ends up most stable, edging out the next structure by 488 meV per atom.

--- A ---
VASP calculation (PBE) on a geometry-optimized AlAsBr2Cl structure.

abc: 4.8853 4.8853 5.4376
angles: 90.00 90.00 90.00
Space group P4/mmm (No. 123)
One atom of each set of equivalent atoms:
Al  0.0000  0.0000  0.0000 [1 per cell]
As  0.0000  0.0000  0.5000 [1 per cell]
Br  0.0000  0.5000  0.0000 [2 per cell]
Cl  0.5000  0.5000  0.5000 [1 per cell]

* size of the total moment: 0.86 μB/cell
* DOS at the Fermi energy: 1.7 states/eV/cell

--- B ---
VASP calculation (PBE) on a geometry-optimized AlAsBr2Cl structure.

abc: 6.3424 6.3424 4.5417
angles: 90.00 90.00 90.00
Space group P4/mmm (No. 123)
One atom of each set of equivalent atoms:
Al  0.0000  0.0000  0.0000 [1 per cell]
As  0.5000  0.5000  0.0000 [1 per cell]
Br  0.0000  0.5000  0.5000 [2 per cell]
Cl  0.5000  0.5000  0.5000 [1 per cell]

* size of the total moment: 0.50 μB/cell
* DOS at the Fermi energy: 4.9 states/eV/cell

A ends up most stable, edging out the next structure by 618 meV per atom.

--- A ---
VASP calculation (PBE) on a geometry-optimized AlCrAs2Br structure.

abc: 4.6445 4.6445 5.5446
angles: 90.00 90.00 90.00
Space group P4/mmm (No. 123)
One atom of each set of equivalent atoms:
Al  0.0000  0.0000  0.0000 [1 per cell]
Cr  0.5000  0.5000  0.5000 [1 per cell]
As  0.0000  0.5000  0.5000 [2 per cell]
Br  0.5000  0.5000  0.0000 [1 per cell]

* size of the total moment: 1.50 μB/cell
* DOS at the Fermi energy: 2.2 states/eV/cell

--- B ---
VASP calculation (PBE) on a geometry-optimized AlCrAs2Br structure.

abc: 4.8534 4.8534 5.1461
angles: 90.00 90.00 90.00
Space group P4/mmm (No. 123)
One atom of each set of equivalent atoms:
Al  0.0000  0.0000  0.0000 [1 per cell]
Cr  0.5000  0.5000  0.5000 [1 per cell]
As  0.0000  0.5000  0.0000 [2 per cell]
Br  0.0000  0.0000  0.5000 [1 per cell]

* size of the total moment: 3.81 μB/cell
* DOS at the Fermi energy: 2.8 states/eV/cell

A ends up most stable, edging out the next structure by 243 meV per atom.

--- A ---
VASP calculation (PBE) on a geometry-optimized AlCrAsBr2 structure.

abc: 5.0109 5.0109 5.1167
angles: 90.00 90.00 90.00
Space group P4/mmm (No. 123)
One atom of each set of equivalent atoms:
Al  0.0000  0.0000  0.0000 [1 per cell]
Cr  0.5000  0.5000  0.5000 [1 per cell]
As  0.0000  0.0000  0.5000 [1 per cell]
Br  0.0000  0.5000  0.0000 [2 per cell]

* size of the total moment: 3.80 μB/cell
* DOS at the Fermi energy: 3.2 states/eV/cell

--- B ---
VASP calculation (PBE) on a geometry-optimized AlCrAsBr2 structure.

abc: 5.2496 5.2496 4.8025
angles: 90.00 90.00 90.00
Space group P4/mmm (No. 123)
One atom of each set of equivalent atoms:
Al  0.0000  0.0000  0.0000 [1 per cell]
Cr  0.5000  0.5000  0.5000 [1 per cell]
As  0.5000  0.5000  0.0000 [1 per cell]
Br  0.0000  0.5000  0.5000 [2 per cell]

* size of the total moment: 2.05 μB/cell
* DOS at the Fermi energy: 1.6 states/eV/cell

B ends up most stable, edging out the next structure by 184 meV per atom.

--- A ---
VASP calculation (PBE) on a geometry-optimized AlFeAsBr2 structure.

abc: 4.9444 4.9444 5.1586
angles: 90.00 90.00 90.00
Space group P4/mmm (No. 123)
One atom of each set of equivalent atoms:
Al  0.0000  0.0000  0.0000 [1 per cell]
Fe  0.5000  0.5000  0.5000 [1 per cell]
As  0.0000  0.0000  0.5000 [1 per cell]
Br  0.0000  0.5000  0.0000 [2 per cell]

* size of the total moment: 4.00 μB/cell
* DOS at the Fermi energy: 4.9 states/eV/cell

--- B ---
VASP calculation (PBE) on a geometry-optimized AlFeAsBr2 structure.

abc: 5.2960 5.2960 4.5301
angles: 90.00 90.00 90.00
Space group P4/mmm (No. 123)
One atom of each set of equivalent atoms:
Al  0.0000  0.0000  0.0000 [1 per cell]
Fe  0.5000  0.5000  0.5000 [1 per cell]
As  0.5000  0.5000  0.0000 [1 per cell]
Br  0.0000  0.5000  0.5000 [2 per cell]

* size of the total moment: 2.00 μB/cell
* DOS at the Fermi energy: 4.4 states/eV/cell

B ends up most stable, edging out the next structure by 233 meV per atom.

--- A ---
VASP calculation (PBE) on a geometry-optimized AlGaAs2Br structure.

abc: 4.8673 4.8673 5.4230
angles: 90.00 90.00 90.00
Space group P4/mmm (No. 123)
One atom of each set of equivalent atoms:
Al  0.0000  0.0000  0.0000 [1 per cell]
Ga  0.5000  0.5000  0.5000 [1 per cell]
As  0.0000  0.5000  0.0000 [2 per cell]
Br  0.0000  0.0000  0.5000 [1 per cell]

* size of the total moment: 0.00 μB/cell
* DOS at the Fermi energy: 3.2 states/eV/cell

--- B ---
VASP calculation (PBE) on a geometry-optimized AlGaAs2Br structure.

abc: 4.9197 4.9197 5.4131
angles: 90.00 90.00 90.00
Space group P4/mmm (No. 123)
One atom of each set of equivalent atoms:
Al  0.0000  0.0000  0.0000 [1 per cell]
Ga  0.5000  0.5000  0.5000 [1 per cell]
As  0.0000  0.5000  0.5000 [2 per cell]
Br  0.5000  0.5000  0.0000 [1 per cell]

* size of the total moment: 0.00 μB/cell
* DOS at the Fermi energy: 3.4 states/eV/cell

A ends up most stable, edging out the next structure by 277 meV per atom.

--- A ---
VASP calculation (PBE) on a geometry-optimized AlAsHBr2 structure.

abc: 5.4437 5.4437 3.5166
angles: 90.00 90.00 90.00
Space group P4/mmm (No. 123)
One atom of each set of equivalent atoms:
Al  0.0000  0.0000  0.0000 [1 per cell]
As  0.5000  0.5000  0.0000 [1 per cell]
H  0.5000  0.5000  0.5000 [1 per cell]
Br  0.0000  0.5000  0.5000 [2 per cell]

* size of the total moment: 0.00 μB/cell
* DOS at the Fermi energy: 2.7 states/eV/cell

--- B ---
VASP calculation (PBE) on a geometry-optimized AlAsHBr2 structure.

abc: 5.2131 5.2131 5.0090
angles: 90.00 90.00 90.00
Space group P4/mmm (No. 123)
One atom of each set of equivalent atoms:
Al  0.0000  0.0000  0.0000 [1 per cell]
As  0.0000  0.0000  0.5000 [1 per cell]
H  0.5000  0.5000  0.5000 [1 per cell]
Br  0.0000  0.5000  0.0000 [2 per cell]

* size of the total moment: 2.85 μB/cell
* DOS at the Fermi energy: 1.5 states/eV/cell

A ends up most stable, edging out the next structure by 32 meV per atom.

--- A ---
VASP calculation (PBE) on a geometry-optimized AlHgAsBr2 structure.

abc: 5.0943 5.0943 5.2361
angles: 90.00 90.00 90.00
Space group P4/mmm (No. 123)
One atom of each set of equivalent atoms:
Al  0.0000  0.0000  0.0000 [1 per cell]
Hg  0.5000  0.5000  0.5000 [1 per cell]
As  0.0000  0.0000  0.5000 [1 per cell]
Br  0.0000  0.5000  0.0000 [2 per cell]

* size of the total moment: 1.31 μB/cell
* DOS at the Fermi energy: 2.0 states/eV/cell

--- B ---
VASP calculation (PBE) on a geometry-optimized AlHgAsBr2 structure.

abc: 5.8031 5.8031 5.2094
angles: 90.00 90.00 90.00
Space group P4/mmm (No. 123)
One atom of each set of equivalent atoms:
Al  0.0000  0.0000  0.0000 [1 per cell]
Hg  0.5000  0.5000  0.5000 [1 per cell]
As  0.5000  0.5000  0.0000 [1 per cell]
Br  0.0000  0.5000  0.5000 [2 per cell]

* size of the total moment: 1.92 μB/cell
* DOS at the Fermi energy: 1.4 states/eV/cell

A ends up most stable, edging out the next structure by 468 meV per atom.

--- A ---
VASP calculation (PBE) on a geometry-optimized AlAs2IBr structure.

abc: 5.4643 5.4643 5.8569
angles: 90.00 90.00 90.00
Space group P4/mmm (No. 123)
One atom of each set of equivalent atoms:
Al  0.0000  0.0000  0.0000 [1 per cell]
As  0.0000  0.5000  0.5000 [2 per cell]
I  0.5000  0.5000  0.5000 [1 per cell]
Br  0.5000  0.5000  0.0000 [1 per cell]

* size of the total moment: 0.85 μB/cell
* DOS at the Fermi energy: 5.5 states/eV/cell

--- B ---
VASP calculation (PBE) on a geometry-optimized AlAs2IBr structure.

abc: 5.0947 5.0947 4.9428
angles: 90.00 90.00 90.00
Space group P4/mmm (No. 123)
One atom of each set of equivalent atoms:
Al  0.0000  0.0000  0.0000 [1 per cell]
As  0.0000  0.5000  0.0000 [2 per cell]
I  0.5000  0.5000  0.5000 [1 per cell]
Br  0.0000  0.0000  0.5000 [1 per cell]

* size of the total moment: 0.25 μB/cell
* DOS at the Fermi energy: 4.0 states/eV/cell

B ends up most stable, edging out the next structure by 733 meV per atom.

--- A ---
VASP calculation (PBE) on a geometry-optimized AlAsIBr2 structure.

abc: 4.8697 4.8697 5.7583
angles: 90.00 90.00 90.00
Space group P4/mmm (No. 123)
One atom of each set of equivalent atoms:
Al  0.0000  0.0000  0.0000 [1 per cell]
As  0.0000  0.0000  0.5000 [1 per cell]
I  0.5000  0.5000  0.5000 [1 per cell]
Br  0.0000  0.5000  0.0000 [2 per cell]

* size of the total moment: 0.00 μB/cell
* DOS at the Fermi energy: 1.6 states/eV/cell

--- B ---
VASP calculation (PBE) on a geometry-optimized AlAsIBr2 structure.

abc: 5.9361 5.9361 5.5264
angles: 90.00 90.00 90.00
Space group P4/mmm (No. 123)
One atom of each set of equivalent atoms:
Al  0.0000  0.0000  0.0000 [1 per cell]
As  0.5000  0.5000  0.0000 [1 per cell]
I  0.5000  0.5000  0.5000 [1 per cell]
Br  0.0000  0.5000  0.5000 [2 per cell]

* size of the total moment: 1.34 μB/cell
* DOS at the Fermi energy: 3.0 states/eV/cell

A ends up most stable, edging out the next structure by 714 meV per atom.